Entry 1:
Here is crystalline K2YHg at its relaxed geometry from the Alexandria database. Energies are from PBE.

Structure (POSCAR):
```
K2YHg
1.0
3.362 -6.780 0.000
3.362 6.780 0.000
-1.970 0.000 3.216
K Y Hg
2 1 1
Direct
0.000 0.500 0.000 K
0.500 0.000 0.000 K
0.000 0.000 0.500 Y
0.500 0.500 0.500 Hg
```

Computed properties:
Space group: C2/m, No. 12
VASP energy in eV/atom: -1.992


Entry 2:
Here is crystalline Ba4CdRu at its relaxed geometry from the Alexandria database. Energies are from PBE.

Structure (POSCAR):
```
Ba4CdRu
1.0
0.000 4.942 4.942
4.942 0.000 4.942
4.942 4.942 0.000
Ba Cd Ru
4 1 1
Direct
0.376 0.376 0.376 Ba
0.376 0.376 0.873 Ba
0.376 0.873 0.376 Ba
0.873 0.376 0.376 Ba
0.000 0.000 0.000 Cd
0.750 0.750 0.750 Ru
```

Computed properties:
Space group: F-43m, No. 216
VASP energy in eV/atom: -2.037


Entry 3:
Here is crystalline CoAsP2 at its relaxed geometry from the Alexandria database. Energies are from PBE.

Structure (POSCAR):
```
CoAsP2
1.0
3.011 0.000 0.000
0.000 3.011 0.000
0.000 0.000 6.817
Co As P
1 1 2
Direct
0.000 0.000 0.000 Co
0.500 0.500 0.788 As
0.000 0.000 0.345 P
0.500 0.500 0.183 P
```

Computed properties:
Space group: P4mm, No. 99
VASP energy in eV/atom: -5.494